An optimized crystal structure of PmTiPb. Source: Alexandria, functional GGA-PBE.

Cell and atoms, written as POSCAR:
```
PmTiPb
1.0
3.559 0.000 0.000
0.000 4.990 0.000
-0.279 0.000 8.956
Pm Ti Pb
2 2 2
Direct
0.039 0.250 0.235
0.961 0.750 0.765
0.466 0.750 0.061
0.534 0.250 0.939
0.404 0.250 0.604
0.596 0.750 0.396
```

Summary:
The excess energy over the best structure of this formula in the dataset comes out at 0.000 eV/atom. As for the symmetry: P2_1/m. As for the formation energy: -0.03 eV/f.u. The volume comes out at 26.51 A^3/atom. The value obtained for the total magnetization is 0.00 μB per formula unit. The crystal system is monoclinic.



An optimized crystal structure of Sm2Sc8Tc. Source: Alexandria, functional GGA-PBE.

Cell and atoms, written as POSCAR:
```
Sm2Sc8Tc
1.0
8.500 -2.549 0.000
8.500 2.549 0.000
-0.620 0.000 6.328
Sm Sc Tc
2 8 1
Direct
0.220 0.220 0.162
0.780 0.780 0.838
0.028 0.028 0.268
0.158 0.158 0.656
0.358 0.358 0.610
0.418 0.418 0.115
0.582 0.582 0.885
0.642 0.642 0.390
0.842 0.842 0.344
0.972 0.972 0.732
0.500 0.500 0.500
```

Summary:
As for the symmetry: C2/m. As for the formation energy: -0.14 eV/f.u. The volume comes out at 24.93 A^3/atom. The value obtained for the total magnetization is 0.00 μB per formula unit. The crystal system is monoclinic.



An optimized crystal structure of Zn6NiRh. Source: Alexandria, functional GGA-PBE.

Cell and atoms, written as POSCAR:
```
Zn6NiRh
1.0
0.000 3.751 5.347
2.769 0.000 5.347
2.769 3.751 0.000
Zn Ni Rh
6 1 1
Direct
0.119 0.119 0.381
0.247 0.247 0.753
0.381 0.381 0.119
0.619 0.619 0.881
0.753 0.753 0.247
0.881 0.881 0.619
0.000 0.000 0.000
0.500 0.500 0.500
```

Summary:
As for the symmetry: Fmmm. As for the formation energy: -1.41 eV/f.u. The volume comes out at 13.88 A^3/atom. The value obtained for the total magnetization is 0.00 μB per formula unit. The crystal system is orthorhombic.



An optimized crystal structure of TbErInTc. Source: Alexandria, functional GGA-PBE.

Cell and atoms, written as POSCAR:
```
TbErInTc
1.0
7.161 0.000 0.000
0.000 7.161 0.000
0.000 0.000 7.161
Tb Er In Tc
4 4 4 4
Direct
0.000 0.000 0.000
0.000 0.500 0.500
0.500 0.000 0.500
0.500 0.500 0.000
0.000 0.000 0.500
0.000 0.500 0.000
0.500 0.000 0.000
0.500 0.500 0.500
0.250 0.250 0.250
0.250 0.750 0.750
0.750 0.250 0.750
0.750 0.750 0.250
0.250 0.250 0.750
0.250 0.750 0.250
0.750 0.250 0.250
0.750 0.750 0.750
```

Summary:
As for the symmetry: F-43m. As for the formation energy: -0.62 eV/f.u. The volume comes out at 22.95 A^3/atom. The value obtained for the total magnetization is 0.00 μB per formula unit. The crystal system is cubic.



An optimized crystal structure of TlCrHg. Source: Alexandria, functional GGA-PBE.

Cell and atoms, written as POSCAR:
```
TlCrHg
1.0
3.326 0.000 0.000
0.000 3.326 0.000
0.000 0.000 12.216
Tl Cr Hg
2 2 2
Direct
0.000 0.000 0.000
0.500 0.500 0.500
0.000 0.000 0.663
0.500 0.500 0.163
0.000 0.000 0.303
0.500 0.500 0.803
```

Summary:
The excess energy over the best structure of this formula in the dataset comes out at 0.000 eV/atom. As for the symmetry: I4mm. As for the formation energy: 1.35 eV/f.u. The volume comes out at 22.53 A^3/atom. The value obtained for the total magnetization is 4.15 μB per formula unit. The crystal system is tetragonal.



An optimized crystal structure of NaGa2Ag. Source: Alexandria, functional GGA-PBE.

Cell and atoms, written as POSCAR:
```
NaGa2Ag
1.0
4.521 0.000 0.000
-2.260 3.915 0.000
0.000 0.000 15.315
Na Ga Ag
3 6 3
Direct
0.000 0.000 0.000
0.333 0.667 0.667
0.667 0.333 0.333
0.000 0.000 0.540
0.000 0.000 0.795
0.333 0.667 0.206
0.333 0.667 0.461
0.667 0.333 0.128
0.667 0.333 0.873
0.000 0.000 0.194
0.333 0.667 0.860
0.667 0.333 0.527
```

Summary:
As for the symmetry: R3m. As for the formation energy: -0.17 eV/f.u. The volume comes out at 22.59 A^3/atom. The value obtained for the total magnetization is 0.00 μB per formula unit. The crystal system is trigonal.



An optimized crystal structure of In2AgCl. Source: Alexandria, functional GGA-PBE.

Cell and atoms, written as POSCAR:
```
In2AgCl
1.0
7.738 0.000 0.000
0.000 7.761 0.000
0.000 0.000 3.165
In Ag Cl
4 2 2
Direct
0.250 0.250 0.000
0.250 0.750 0.000
0.750 0.250 0.000
0.750 0.750 0.000
0.000 0.000 0.500
0.500 0.500 0.500
0.000 0.500 0.500
0.500 0.000 0.500
```

Summary:
The excess energy over the best structure of this formula in the dataset comes out at 0.023 eV/atom. As for the symmetry: Cmmm. The volume comes out at 23.76 A^3/atom. The value obtained for the raw formation energy is -259 meV per atom. The value obtained for the total magnetization is 0.00 μB per formula unit. The crystal system is orthorhombic.



An optimized crystal structure of CsTb5Te8. Source: Alexandria, functional GGA-PBE.

Cell and atoms, written as POSCAR:
```
CsTb5Te8
1.0
11.385 -2.215 0.000
11.385 2.215 0.000
-2.646 0.000 10.588
Cs Tb Te
1 5 8
Direct
0.000 0.000 0.000
0.156 0.156 0.467
0.205 0.205 0.844
0.500 0.500 0.500
0.795 0.795 0.156
0.844 0.844 0.533
0.076 0.076 0.660
0.266 0.266 0.346
0.335 0.335 0.002
0.417 0.417 0.688
0.583 0.583 0.312
0.665 0.665 0.998
0.734 0.734 0.654
0.924 0.924 0.340
```

Summary:
As for the symmetry: C2/m. The volume comes out at 38.14 A^3/atom. The value obtained for the raw formation energy is -1419 meV per atom. The value obtained for the total magnetization is 0.00 μB per formula unit. The crystal system is monoclinic.